# Tl2HgS2, relaxed, DFT PBE-GGA
data_Tl2HgS2
_cell_length_a 5.148
_cell_length_b 5.148
_cell_length_c 10.298
_cell_angle_alpha 90.00
_cell_angle_beta 90.00
_cell_angle_gamma 90.00
_symmetry_space_group_name_H-M 'I 4/m m m'
_symmetry_Int_Tables_number 139
_symmetry_space_group_name_Hall '-I 4 2'
loop_
_atom_site_label
_atom_site_fract_x
_atom_site_fract_y
_atom_site_fract_z
Tl1 0.000 0.000 0.144
Hg1 0.000 0.000 0.500
S1 0.000 0.500 0.250
# * energy above the most stable polymorph in this dataset: 1.064 eV per formula unit
# * total magnetic moment: 0.00 Bohr magnetons per cell
# * E_form (uncorrected): -0.017 eV per atom
# * N(E_F): 1.62 states/eV per cell